Density functional theory data (GGA-PBE) for a geometry-optimized AcMg4Pd structure.

Cell lengths 8.932, 4.290, 7.815 Å; angles 90.00, 90.00, 90.00 degrees
Space group Pmma (No. 51)
Unique sites:
Ac 0.250 0.000 0.098 x2
Mg 0.000 0.000 0.500 x2
Mg 0.063 0.500 0.792 x4
Mg 0.250 0.500 0.460 x2
Pd 0.250 0.000 0.696 x2

Formation energy (eV/atom): -0.35
DOS at the Fermi energy (states/eV per atom): 0.741

***

Density functional theory data (GGA-PBE) for a geometry-optimized BeAl2Ir structure.

Cell lengths 5.275, 5.273, 4.590 Å; angles 90.00, 125.03, 90.00 degrees
Space group C2 (No. 5)
Unique sites:
Be 0.000 0.000 0.000 x2
Al 0.000 0.252 0.500 x2
Al 0.000 0.502 0.000 x2
Ir 0.000 0.752 0.500 x2

Formation energy (eV/atom): -0.49
DOS at the Fermi energy (states/eV per atom): 0.214

***

Density functional theory data (GGA-PBE) for a geometry-optimized Ta2FeMo structure.

Cell lengths 3.227, 4.619, 8.550 Å; angles 90.00, 90.00, 90.00 degrees
Space group Immm (No. 71)
Unique sites:
Ta 0.000 0.000 0.245 x4
Fe 0.000 0.500 0.500 x2
Mo 0.000 0.500 0.000 x2

Formation energy (eV/atom): 0.01
DOS at the Fermi energy (states/eV per atom): 0.728
Excess energy over the best structure of this formula in the dataset (eV per formula unit): 0.75

***

Density functional theory data (GGA-PBE) for a geometry-optimized HfSiI2O structure.

Cell lengths 5.820, 5.820, 3.943 Å; angles 90.00, 90.00, 90.00 degrees
Space group P4/mmm (No. 123)
Unique sites:
Hf 0.000 0.000 0.000 x1
Si 0.500 0.500 0.500 x1
I 0.000 0.500 0.000 x2
O 0.000 0.000 0.500 x1

DOS at the Fermi energy (states/eV per atom): 0.582
E_form (uncorrected) (eV/atom): -0.562
Excess energy over the best structure of this formula in the dataset (eV per formula unit): 0.00

***

| no. | mass density (Mg/m³) |
| --- | --- |
| 1 | 4.8 |
| 2 | 8.1 |
| 3 | 13.4 |
| 4 | 5.9 |